The following is a DFT calculation (PBE-GGA) of MgCdNiAg after structural relaxation.

Results
The total magnetic moment comes out at 0.000 μB per atom. The value obtained for the total energy is -2.852 eV per atom. Its space group is F-43m (216). The density of states at the Fermi level comes out at 0.44 states/eV per atom. Its calculated formation energy is -0.0666 eV per atom.

a b c (Å): 4.5711 4.5711 4.5711
angles (deg): 60.00 60.00 60.00
With the nearest neighbours (Å) after each atom.
Element x y z (fractional)
1 Mg 0.0000 0.0000 0.0000  4 Ag 2.80, 4 Ni 2.80
2 Cd 0.5000 0.5000 0.5000  4 Ag 2.80, 4 Ni 2.80
3 Ni 0.2500 0.2500 0.2500  4 Cd 2.80, 4 Mg 2.80
4 Ag 0.7500 0.7500 0.7500  4 Cd 2.80, 4 Mg 2.80

---

The following is a DFT calculation (PBE-GGA) of Mg2CdAgP after structural relaxation.

Results
The total magnetic moment comes out at 0.000 μB per atom. The value obtained for the total energy is -2.463 eV per atom. Its space group is P4/mmm (123). The density of states at the Fermi level comes out at 0.35 states/eV per atom. Its calculated formation energy is 0.0103 eV per atom.

a b c (Å): 4.9117 4.9117 4.9004
angles (deg): 90.00 90.00 90.00
With the nearest neighbours (Å) after each atom.
Element x y z (fractional)
1 Mg 0.0000 0.5000 0.0000  2 P 2.46
2 Mg 0.5000 0.0000 0.0000  2 P 2.46
3 Cd 0.0000 0.0000 0.5000  8 Mg 3.47, 4 Ag 3.47
4 Ag 0.5000 0.5000 0.5000  2 P 2.45
5 P 0.5000 0.5000 0.0000  2 Ag 2.45, 4 Mg 2.46